[1]
Computed, not measured: crystalline Cs2H6Rh at its relaxed geometry at the GGA-PBE level of DFT.

POSCAR file:
```
Cs2H6Rh
1.0
3.465 -5.250 0.000
3.465 5.250 0.000
-0.010 0.000 3.976
Cs H Rh
2 6 1
direct
0.184 0.816 0.000
0.816 0.184 0.000
0.214 0.445 0.499
0.444 0.444 0.936
0.445 0.214 0.499
0.555 0.786 0.501
0.556 0.556 0.064
0.786 0.555 0.501
0.500 0.500 0.500
```

Computed properties:
The calculation puts the density of states at the Fermi level at 1.67 states/eV per cell. The value obtained for the uncorrected energy is -3.410 eV per atom. Its symmetry is C2/m (12).


[2]
Computed, not measured: crystalline K3Ba2IrO6 at its relaxed geometry at the GGA-PBE level of DFT.

POSCAR file:
```
K3Ba2IrO6
1.0
3.204 -5.598 0.000
3.204 5.598 0.000
-2.116 0.000 6.194
K Ba Ir O
3 2 1 6
direct
0.000 0.000 0.000
0.349 0.651 0.000
0.651 0.349 0.000
0.168 0.832 0.500
0.832 0.168 0.500
0.500 0.500 0.500
0.176 0.436 0.307
0.296 0.296 0.687
0.436 0.176 0.307
0.564 0.824 0.693
0.704 0.704 0.313
0.824 0.564 0.693
```

Computed properties:
The calculation puts the density of states at the Fermi level at 6.13 states/eV per cell. The value obtained for the formation energy from raw total energies is -36.4 kcal/mol of atoms. Its symmetry is C2/m (12).


[3]
Computed, not measured: crystalline Zn2BrCl at its relaxed geometry at the GGA-PBE level of DFT.

POSCAR file:
```
Zn2BrCl
1.0
3.347 -3.485 0.000
3.347 3.485 0.000
-2.548 0.000 5.170
Zn Br Cl
2 1 1
direct
0.000 0.000 0.000
0.024 0.024 0.420
0.322 0.322 0.876
0.739 0.739 0.562
```

Computed properties:
The calculation puts the density of states at the Fermi level at 0.00 states/eV per cell. The value obtained for the formation energy from raw total energies is -14.2 kcal/mol of atoms. Its symmetry is Cm (8).


[4]
Computed, not measured: crystalline LaTb2Hg2Pb2 at its relaxed geometry at the GGA-PBE level of DFT.

POSCAR file:
```
LaTb2Hg2Pb2
1.0
2.558 1.477 9.072
-2.558 1.477 9.072
0.000 -2.953 9.072
La Tb Hg Pb
1 2 2 2
direct
0.000 0.000 0.000
0.132 0.132 0.132
0.868 0.868 0.868
0.437 0.437 0.437
0.563 0.563 0.563
0.269 0.269 0.269
0.731 0.731 0.731
```

Computed properties:
The calculation puts the density of states at the Fermi level at 5.97 states/eV per cell. Its formation enthalpy at 0 K is -284 meV per atom. Its symmetry is R-3m (166).


[5]
Computed, not measured: crystalline Ca3Al2Si4 at its relaxed geometry at the GGA-PBE level of DFT.

POSCAR file:
```
Ca3Al2Si4
1.0
5.642 -2.076 0.000
5.642 2.076 0.000
-1.220 0.000 8.331
Ca Al Si
3 2 4
direct
0.000 0.000 0.000
0.335 0.335 0.330
0.665 0.665 0.670
0.390 0.390 0.724
0.610 0.610 0.276
0.062 0.062 0.397
0.286 0.286 0.956
0.714 0.714 0.044
0.938 0.938 0.603
```

Computed properties:
The calculation puts the density of states at the Fermi level at 3.42 states/eV per cell. The value obtained for the formation energy from raw total energies is -8.1 kcal/mol of atoms. Its symmetry is C2/m (12).


[6]
Computed, not measured: crystalline NbPdI at its relaxed geometry at the GGA-PBE level of DFT.

POSCAR file:
```
NbPdI
1.0
1.908 -11.853 0.000
1.908 11.853 0.000
0.000 0.000 3.349
Nb Pd I
2 2 2
direct
0.216 0.784 0.750
0.784 0.216 0.250
0.334 0.666 0.750
0.666 0.334 0.250
0.085 0.915 0.250
0.915 0.085 0.750
```

Computed properties:
The calculation puts the density of states at the Fermi level at 3.96 states/eV per cell. The value obtained for the formation energy from raw total energies is -1.9 kcal/mol of atoms. Its symmetry is Cmcm (63).


[7]
Computed, not measured: crystalline Pu3BiN2 at its relaxed geometry at the GGA-PBE level of DFT.

POSCAR file:
```
Pu3BiN2
1.0
4.549 -5.155 0.000
4.549 5.155 0.000
0.000 0.000 5.597
Pu Bi N
6 2 4
direct
0.107 0.893 0.750
0.176 0.402 0.750
0.402 0.176 0.250
0.598 0.824 0.750
0.824 0.598 0.250
0.893 0.107 0.250
0.325 0.675 0.250
0.675 0.325 0.750
0.157 0.157 0.000
0.157 0.157 0.500
0.843 0.843 0.000
0.843 0.843 0.500
```

Computed properties:
The calculation puts the density of states at the Fermi level at 37.10 states/eV per cell. The value obtained for the formation energy from raw total energies is -22.3 kcal/mol of atoms. Its symmetry is Cmcm (63).


[8]
Computed, not measured: crystalline MnVPb3 at its relaxed geometry at the GGA-PBE level of DFT.

POSCAR file:
```
MnVPb3
1.0
5.297 0.000 0.000
0.000 5.297 0.000
0.000 0.000 5.297
Mn V Pb
1 1 3
direct
0.000 0.000 0.000
0.500 0.500 0.500
0.000 0.500 0.500
0.500 0.000 0.500
0.500 0.500 0.000
```

Computed properties:
The calculation puts the density of states at the Fermi level at 1.18 states/eV per cell. Its formation enthalpy at 0 K is 711 meV per atom. Its symmetry is Pm-3m (221).


[9]
Computed, not measured: crystalline TcBr2Cl at its relaxed geometry at the GGA-PBE level of DFT.

POSCAR file:
```
TcBr2Cl
1.0
1.740 -3.855 0.000
1.740 3.855 0.000
0.000 0.000 9.153
Tc Br Cl
1 2 1
direct
0.000 0.000 0.000
0.500 0.500 0.201
0.500 0.500 0.799
0.000 0.000 0.500
```

Computed properties:
The calculation puts the density of states at the Fermi level at 2.56 states/eV per cell. The value obtained for the formation energy from raw total energies is 6.2 kcal/mol of atoms. Its symmetry is Cmmm (65).


[10]
Computed, not measured: crystalline LaMnRu2 at its relaxed geometry at the GGA-PBE level of DFT.

POSCAR file:
```
LaMnRu2
1.0
0.000 3.275 3.275
3.275 0.000 3.275
3.275 3.275 0.000
La Mn Ru
1 1 2
direct
0.000 0.000 0.000
0.750 0.750 0.750
0.250 0.250 0.250
0.500 0.500 0.500
```

Computed properties:
The calculation puts the density of states at the Fermi level at 7.17 states/eV per cell. Its formation enthalpy at 0 K is 380 meV per atom. Its symmetry is F-43m (216).


[11]
Computed, not measured: crystalline SrTcAg at its relaxed geometry at the GGA-PBE level of DFT.

POSCAR file:
```
SrTcAg
1.0
5.937 -2.009 0.000
5.937 2.009 0.000
-0.489 0.000 6.233
Sr Tc Ag
2 2 2
direct
0.000 0.000 0.000
0.612 0.612 0.496
0.322 0.322 0.285
0.886 0.886 0.456
0.314 0.314 0.751
0.722 0.722 0.008
```

Computed properties:
The calculation puts the density of states at the Fermi level at 4.95 states/eV per cell. Its formation enthalpy at 0 K is 242 meV per atom. Its symmetry is Cm (8).


[12]
Computed, not measured: crystalline LaMg2Sb at its relaxed geometry at the GGA-PBE level of DFT.

POSCAR file:
```
LaMg2Sb
1.0
-4.414 4.414 3.157
4.414 -4.414 3.157
4.414 4.414 -3.157
La Mg Sb
2 4 2
direct
0.000 0.000 0.000
0.750 0.250 0.500
0.175 0.625 0.050
0.375 0.425 0.550
0.575 0.125 0.950
0.875 0.825 0.450
0.250 0.750 0.500
0.500 0.500 0.000
```

Computed properties:
The calculation puts the density of states at the Fermi level at 1.25 states/eV per cell. The value obtained for the formation energy from raw total energies is -6.4 kcal/mol of atoms. Its symmetry is I-42d (122).